Entry from Alexandria via LeMat-Bulk: a relaxed structure of Ac8Hg2Au (GGA-PBE).

Cell: 5.6252 7.5791 10.4497 Å, 102.22 105.61 90.00°
Sites, in units of the cell vectors:
Ac 0.0217 0.7735 0.0434
Au 0.5000 0.0000 0.0000
Ac 0.2044 0.3277 0.4088
Ac 0.9783 0.2265 0.9566
Ac 0.5901 0.4526 0.1802
Hg 0.1855 0.7453 0.3710
Ac 0.7956 0.6723 0.5912
Ac 0.4099 0.5474 0.8198
Ac 0.6587 0.9761 0.3174
Ac 0.3413 0.0239 0.6826
Hg 0.8145 0.2547 0.6290

VASP energy = -3.61 eV/atom
calculated volume = 419 Å³/cell
formation energy from the elements = -0.265 eV per atom